Entry 1:
Compound: HgSbSe2
Source: the Alexandria database
Functional: PBE-GGA
Structure: optimized geometry

Cell and atoms, written as CIF:
```
data_HgSbSe2
_cell_length_a 3.980
_cell_length_b 6.762
_cell_length_c 7.991
_cell_angle_alpha 90.00
_cell_angle_beta 90.00
_cell_angle_gamma 90.00
_space_group_name_H-M_alt 'C m m 2'
_space_group_IT_number 35
loop_
_space_group_symop_operation_xyz
'x,y,z'
'-x,-y,z'
'-x,y,z'
'x,-y,z'
'x+1/2,y+1/2,z'
'-x+1/2,-y+1/2,z'
'-x+1/2,y+1/2,z'
'x+1/2,-y+1/2,z'
loop_
_atom_site_label
_atom_site_type_symbol
_atom_site_fract_x
_atom_site_fract_y
_atom_site_fract_z
Hg1 Hg 0.000 0.000 0.000
Sb1 Sb 0.000 0.500 0.715
Se1 Se 0.000 0.000 0.476
Se2 Se 0.000 0.500 0.232
```

## Properties
Energy relative to the lowest polymorph listed for this composition ... 384 meV per atom
Calculated total energy ... -2.615 eV/atom
Total magnetization ... 0.00 μB per atom
Energy relative to the elements, uncorrected ... 233 meV/atom
Crystal system ... orthorhombic


Entry 2:
Compound: Pr2PF
Source: the Alexandria database
Functional: PBE-GGA
Structure: optimized geometry

Cell and atoms, written as CIF:
```
data_Pr2PF
_cell_length_a 3.9411
_cell_length_b 3.9411
_cell_length_c 20.7678
_cell_angle_alpha 90.00
_cell_angle_beta 90.00
_cell_angle_gamma 120.00
_space_group_name_H-M_alt 'R 3 m'
_space_group_IT_number 160
_space_group_name_Hall 'R 3 -2"'
loop_
_atom_site_label
_atom_site_type_symbol
_atom_site_fract_x
_atom_site_fract_y
_atom_site_fract_z
Pr1 Pr 0.0000 0.0000 0.0000
Pr2 Pr 0.0000 0.0000 0.1756
P1 P 0.0000 0.0000 0.5874
F1 F 0.0000 0.0000 0.7603
```

## Properties
Energy relative to the lowest polymorph listed for this composition ... 93 meV per atom
Calculated total energy ... -6.103 eV/atom
Total magnetization ... 0.00 μB per atom
Energy relative to the elements, uncorrected ... -1893 meV/atom
Crystal system ... trigonal


Entry 3:
Compound: Er2Ag2IO6
Source: the Alexandria database
Functional: PBE-GGA
Structure: optimized geometry

Cell and atoms, written as CIF:
```
data_Er2Ag2IO6
_cell_length_a 5.987
_cell_length_b 10.859
_cell_length_c 6.465
_cell_angle_alpha 90.00
_cell_angle_beta 103.62
_cell_angle_gamma 90.00
_space_group_name_H-M_alt 'C 1 2/m 1'
_space_group_IT_number 12
loop_
_space_group_symop_operation_xyz
'x,y,z'
'-x,-y,-z'
'-x,y,-z'
'x,-y,z'
'x+1/2,y+1/2,z'
'-x+1/2,-y+1/2,-z'
'-x+1/2,y+1/2,-z'
'x+1/2,-y+1/2,z'
loop_
_atom_site_label
_atom_site_type_symbol
_atom_site_fract_x
_atom_site_fract_y
_atom_site_fract_z
Er1 Er 0.000 0.163 0.000
Ag1 Ag 0.000 0.324 0.500
I1 I 0.000 0.500 0.000
O1 O 0.122 0.322 0.830
O2 O 0.150 0.000 0.862
```

## Properties
Calculated total energy ... -5.765 eV/atom
Total magnetization ... 0.09 μB per atom
Energy relative to the elements, uncorrected ... -1572 meV/atom
Crystal system ... monoclinic


Entry 4:
Compound: Er2MgGa4Pd3
Source: the Alexandria database
Functional: PBE-GGA
Structure: optimized geometry

Cell and atoms, written as CIF:
```
data_Er2MgGa4Pd3
_cell_length_a 3.991
_cell_length_b 3.991
_cell_length_c 11.856
_cell_angle_alpha 90.00
_cell_angle_beta 90.00
_cell_angle_gamma 90.00
_space_group_name_H-M_alt 'P -4 m 2'
_space_group_IT_number 115
loop_
_space_group_symop_operation_xyz
'x,y,z'
'y,-x,-z'
'-x,-y,z'
'-y,x,-z'
'-x,y,z'
'-y,-x,-z'
'x,-y,z'
'y,x,-z'
loop_
_atom_site_label
_atom_site_type_symbol
_atom_site_fract_x
_atom_site_fract_y
_atom_site_fract_z
Er1 Er 0.000 0.500 0.240
Mg1 Mg 0.000 0.000 0.500
Ga1 Ga 0.000 0.000 0.000
Ga2 Ga 0.000 0.500 0.649
Ga3 Ga 0.500 0.500 0.000
Pd1 Pd 0.000 0.500 0.859
Pd2 Pd 0.500 0.500 0.500
```

## Properties
Calculated total energy ... -4.545 eV/atom
Total magnetization ... 0.00 μB per atom
Formation enthalpy at 0 K ... -679 kJ/mol of formula units
Crystal system ... tetragonal


Question: What is the formula in the second record?
Answer: Pr2PF